# ScUB (PBE, optimized geometry)
data_ScUB
_cell_length_a 4.3529
_cell_length_b 4.3529
_cell_length_c 4.3529
_cell_angle_alpha 60.00
_cell_angle_beta 60.00
_cell_angle_gamma 60.00
_space_group_name_H-M_alt 'P 1'
_space_group_IT_number 1
loop_
_space_group_symop_operation_xyz
'x,y,z'
loop_
_atom_site_label
_atom_site_type_symbol
_atom_site_fract_x
_atom_site_fract_y
_atom_site_fract_z
Sc1 Sc 0.0000 0.0000 0.0000
U1 U 0.7500 0.7500 0.7500
B1 B 0.5000 0.5000 0.5000
# Spin magnetization: 3.9 μB/f.u.
# SG: F-43m (216)
# Energy above the most stable polymorph in this dataset: 942 meV per atom
# Calculated volume: 19.44 A^3/atom